No. 1
{
  "formula": "TbBeZnCu6",
  "functional": "GGA-PBE",
  "state": "relaxed",
  "final_energy_ev_per_atom": -3.68,
  "space_group": "Imma",
  "formation_energy_ev_per_atom": 0.116,
  "cell": [[6.2151, 0.0000, 0.0000], [0.0000, 8.1488, 0.0000], [-3.1075, -4.0744, 5.2297]],
  "species": ["Tb", "Tb", "Be", "Be", "Zn", "Zn", "Cu", "Cu", "Cu", "Cu", "Cu", "Cu", "Cu", "Cu", "Cu", "Cu", "Cu", "Cu"],
  "frac_coords": [[0.7042, 0.4542, 0.4083], [0.2958, 0.5458, 0.5917], [0.5000, 0.5000, 0.0000], [0.5000, 0.0000, 0.0000], [0.5000, 0.0000, 0.5000], [0.0000, 0.0000, 0.5000], [0.5707, 0.8207, 0.1414], [0.0112, 0.2612, 0.0225], [0.9187, 0.1140, 0.2370], [0.3183, 0.6230, 0.2370], [0.3183, 0.1140, 0.2370], [0.9187, 0.6230, 0.2370], [0.4293, 0.1793, 0.8586], [0.9888, 0.7388, 0.9775], [0.0813, 0.8860, 0.7630], [0.6817, 0.3770, 0.7630], [0.6817, 0.8860, 0.7630], [0.0813, 0.3770, 0.7630]]
}


No. 2
{
  "formula": "Be9Cu2Tc",
  "functional": "GGA-PBE",
  "state": "relaxed",
  "final_energy_ev_per_atom": -4.52,
  "space_group": "R-3m",
  "formation_energy_ev_per_atom": -0.177,
  "cell": [[-0.4540, 1.2176, 4.0573], [1.5209, -2.4443, 3.1405], [6.2634, 2.8571, 2.0802]],
  "species": ["Be", "Be", "Be", "Be", "Be", "Be", "Be", "Be", "Be", "Cu", "Cu", "Tc"],
  "frac_coords": [[0.6674, 0.6674, 0.9978], [0.3326, 0.3326, 0.0022], [0.5000, 0.5000, 0.5000], [0.4172, 0.4172, 0.2474], [0.9182, 0.4172, 0.2474], [0.4172, 0.9182, 0.2474], [0.5828, 0.5828, 0.7526], [0.5828, 0.0818, 0.7526], [0.0818, 0.5828, 0.7526], [0.8564, 0.8564, 0.4307], [0.1436, 0.1436, 0.5693], [0.0000, 0.0000, 0.0000]]
}


No. 3
{
  "formula": "Be2CuTc2",
  "functional": "GGA-PBE",
  "state": "relaxed",
  "final_energy_ev_per_atom": -6.56,
  "space_group": "P4/mbm",
  "relative_energy_mev_per_atom": 0,
  "formation_energy_ev_per_atom": -0.101,
  "cell": [[5.8637, 0.0000, 0.0000], [0.0000, 5.8637, 0.0000], [0.0000, 0.0000, 3.2265]],
  "species": ["Be", "Be", "Be", "Be", "Tc", "Tc", "Tc", "Tc", "Cu", "Cu"],
  "frac_coords": [[0.3775, 0.8775, 0.0000], [0.8775, 0.6225, 0.0000], [0.6225, 0.1225, 0.0000], [0.1225, 0.3775, 0.0000], [0.1764, 0.6764, 0.5000], [0.6764, 0.8236, 0.5000], [0.8236, 0.3236, 0.5000], [0.3236, 0.1764, 0.5000], [0.0000, 0.0000, 0.0000], [0.5000, 0.5000, 0.0000]]
}


No. 4
{
  "formula": "BeCu2Tc2",
  "functional": "GGA-PBE",
  "state": "relaxed",
  "final_energy_ev_per_atom": -6.18,
  "space_group": "P4/mbm",
  "relative_energy_mev_per_atom": 0,
  "formation_energy_ev_per_atom": 0.347,
  "cell": [[-1.8452, 1.2889, 5.0490], [-1.3005, -5.3006, 0.8778], [3.7462, -0.6643, 1.5386]],
  "species": ["Be", "Be", "Tc", "Tc", "Tc", "Tc", "Cu", "Cu", "Cu", "Cu"],
  "frac_coords": [[0.0000, 0.0000, 0.0000], [0.5000, 0.5000, 0.0000], [0.1644, 0.6644, 0.5000], [0.6644, 0.8356, 0.5000], [0.8356, 0.3356, 0.5000], [0.3356, 0.1644, 0.5000], [0.3518, 0.8518, 0.0000], [0.8518, 0.6482, 0.0000], [0.6482, 0.1482, 0.0000], [0.1482, 0.3518, 0.0000]]
}